# 1
First-principles (GGA-PBEsol) data for crystalline KLa2Ta at its relaxed geometry, as listed in Alexandria via LeMat-Bulk.

Unit cell a=3.2526 b=3.2526 c=12.6492 alpha=90.00 beta=90.00 gamma=118.52
Atoms (fractional coordinates):
K 0.5000 0.5000 0.2769
Ta 0.0000 0.0000 0.5243
La 0.5000 0.5000 0.7214
La 0.0000 0.0000 0.9773

Results
Calculated volume in Å³/atom: 29.394
ΔH_f (0 K) in eV/atom: 0.74
Relative energy among the computed polymorphs in meV per atom: 169
N(E_F) in states/eV/cell: 6.162

=====

# 2
First-principles (GGA-PBEsol) data for crystalline TiAsN2F at its relaxed geometry, as listed in Alexandria via LeMat-Bulk.

Unit cell a=3.7448 b=3.8464 c=3.8464 alpha=90.00 beta=90.00 gamma=90.00
Atoms (fractional coordinates):
N 0.0000 0.5000 0.0000
N 0.0000 0.0000 0.5000
F 0.5000 0.0000 0.0000
Ti 0.5000 0.5000 0.5000
As 0.0000 0.0000 0.0000

Results
Calculated volume in Å³/atom: 11.081
Final energy in eV/atom: -6.37
N(E_F) in states/eV/cell: 3.300

=====

# 3
First-principles (GGA-PBEsol) data for crystalline GaCo2AgP at its relaxed geometry, as listed in Alexandria via LeMat-Bulk.

Unit cell a=4.0804 b=4.0804 c=4.5770 alpha=90.00 beta=90.00 gamma=90.00
Atoms (fractional coordinates):
Co 0.5000 0.0000 0.0000
Co 0.0000 0.5000 0.0000
P 0.0000 0.0000 0.0000
Ag 0.5000 0.5000 0.5000
Ga 0.0000 0.0000 0.5000

Results
Calculated volume in Å³/atom: 15.241
ΔH_f (0 K) in eV/atom: 0.41
N(E_F) in states/eV/cell: 5.227